Record 1
DFT (GGA-PBE) results for a relaxed NaAsH3 crystal.

## Properties
The calculation puts the excess energy over the best structure of this formula in the dataset at 81.1 meV/atom. As for the space-group type: P2_1, No. 4.

Lattice parameters (Å, degrees): 3.948 5.592 6.187 90.00 108.02 90.00
Fractional coordinates of all 10 atoms:
Na 0.103 0.000 0.209
Na 0.897 0.500 0.791
As 0.386 0.042 0.766
As 0.614 0.542 0.234
H 0.005 0.042 0.565
H 0.375 0.754 0.746
H 0.433 0.540 0.438
H 0.567 0.040 0.562
H 0.625 0.254 0.254
H 0.995 0.542 0.435

Record 2
DFT (GGA-PBE) results for a relaxed S2O3F3 crystal.

## Properties
As for the raw formation energy: -0.888 eV/atom. As for the space-group type: Cmcm, No. 63.

Lattice parameters (Å, degrees): 5.686 5.686 13.866 90.00 90.00 139.07
Fractional coordinates of all 16 atoms:
S 0.229 0.771 0.640
S 0.229 0.771 0.860
S 0.771 0.229 0.140
S 0.771 0.229 0.360
O 0.127 0.873 0.573
O 0.127 0.873 0.927
O 0.159 0.841 0.750
O 0.841 0.159 0.250
O 0.873 0.127 0.073
O 0.873 0.127 0.427
F 0.038 0.962 0.250
F 0.241 0.759 0.145
F 0.241 0.759 0.355
F 0.759 0.241 0.645
F 0.759 0.241 0.855
F 0.962 0.038 0.750

Record 3
DFT (GGA-PBE) results for a relaxed La3SN2 crystal.

## Properties
As for the raw formation energy: -1.328 eV/atom. The calculation puts the excess energy over the best structure of this formula in the dataset at 185.4 meV/atom. As for the space-group type: Cmcm, No. 63.

Lattice parameters (Å, degrees): 8.131 8.131 6.004 90.00 90.00 107.72
Fractional coordinates of all 12 atoms:
La 0.082 0.918 0.750
La 0.225 0.384 0.750
La 0.384 0.225 0.250
La 0.616 0.775 0.750
La 0.775 0.616 0.250
La 0.918 0.082 0.250
S 0.413 0.587 0.250
S 0.587 0.413 0.750
N 0.163 0.163 0.000
N 0.163 0.163 0.500
N 0.837 0.837 0.000
N 0.837 0.837 0.500

Record 4
DFT (GGA-PBE) results for a relaxed CsCe2F9 crystal.

## Properties
As for the raw formation energy: -3.519 eV/atom. As for the space-group type: P6/mmm, No. 191.

Lattice parameters (Å, degrees): 7.864 7.864 3.610 90.00 90.00 120.00
Fractional coordinates of all 12 atoms:
Cs 0.000 0.000 0.000
Ce 0.333 0.667 0.000
Ce 0.667 0.333 0.000
F 0.000 0.500 0.000
F 0.222 0.444 0.500
F 0.222 0.778 0.500
F 0.444 0.222 0.500
F 0.500 0.000 0.000
F 0.500 0.500 0.000
F 0.556 0.778 0.500
F 0.778 0.222 0.500
F 0.778 0.556 0.500